# PBE CoBi2BTe, optimized geometry
# Magnetic moment ... 0.00 μB per cell
# E_form (uncorrected) ... 1.18 eV per atom
data_CoBi2BTe
_chemical_formula_sum 'Co1 Bi2 B1 Te1'
_symmetry_space_group_name_H-M 'P 4/m m m'
_symmetry_Int_Tables_number 123
_symmetry_space_group_name_Hall '-P 4 2'
_cell_length_a 5.1167
_cell_length_b 5.1167
_cell_length_c 4.9195
_cell_angle_alpha 90.00
_cell_angle_beta 90.00
_cell_angle_gamma 90.00
loop_
_atom_site_label
_atom_site_fract_x
_atom_site_fract_y
_atom_site_fract_z
Co1 0.0000 0.0000 0.0000
Bi1 0.0000 0.5000 0.0000
B1 0.5000 0.5000 0.5000
Te1 0.0000 0.0000 0.5000

***

# PBE Ba2AuCl, optimized geometry
# Magnetic moment ... 0.50 μB per cell
# E_form (uncorrected) ... -1.25 eV per atom
# Excess energy over the best structure of this formula in the dataset ... 0.0384 eV per atom
data_Ba2AuCl
_chemical_formula_sum 'Ba2 Au1 Cl1'
_symmetry_space_group_name_H-M 'P 4/m m m'
_symmetry_Int_Tables_number 123
_symmetry_space_group_name_Hall '-P 4 2'
_cell_length_a 4.7049
_cell_length_b 4.7049
_cell_length_c 6.6937
_cell_angle_alpha 90.00
_cell_angle_beta 90.00
_cell_angle_gamma 90.00
loop_
_atom_site_label
_atom_site_fract_x
_atom_site_fract_y
_atom_site_fract_z
Ba1 0.0000 0.0000 0.0000
Ba2 0.5000 0.5000 0.5000
Au1 0.0000 0.0000 0.5000
Cl1 0.5000 0.5000 0.0000

***

# PBE EuIn6Ni7, optimized geometry
# Raw total energy ... -5.001 eV per atom
# Magnetic moment ... 28.42 μB per cell
data_EuIn6Ni7
_chemical_formula_sum 'Eu4 In24 Ni28'
_symmetry_space_group_name_H-M 'I b a m'
_symmetry_Int_Tables_number 72
_symmetry_space_group_name_Hall '-I 2 2c'
_cell_length_a 8.0939
_cell_length_b 9.4238
_cell_length_c 12.5952
_cell_angle_alpha 90.00
_cell_angle_beta 90.00
_cell_angle_gamma 90.00
loop_
_atom_site_label
_atom_site_fract_x
_atom_site_fract_y
_atom_site_fract_z
Eu1 0.0000 0.0000 0.2500
In1 0.1736 0.3066 0.1405
In2 0.1752 0.0438 0.0000
Ni1 0.0000 0.5000 0.0000
Ni2 0.0753 0.2408 0.5000
Ni3 0.1240 0.4140 0.3294

***

# PBE PmPrSb2, optimized geometry
# Magnetic moment ... 0.00 μB per cell
# E_form (uncorrected) ... -1.19 eV per atom
# Excess energy over the best structure of this formula in the dataset ... 0.0007 eV per atom
data_PmPrSb2
_chemical_formula_sum 'Pm3 Pr3 Sb6'
_symmetry_space_group_name_H-M 'R -3 m'
_symmetry_Int_Tables_number 166
_symmetry_space_group_name_Hall '-R 3 2"'
_cell_length_a 4.5271
_cell_length_b 4.5271
_cell_length_c 22.1521
_cell_angle_alpha 90.00
_cell_angle_beta 90.00
_cell_angle_gamma 120.00
loop_
_atom_site_label
_atom_site_fract_x
_atom_site_fract_y
_atom_site_fract_z
Pm1 0.0000 0.0000 0.0000
Pr1 0.0000 0.0000 0.5000
Sb1 0.0000 0.0000 0.2514

***

# PBE MgPdSe, optimized geometry
# Magnetic moment ... 0.00 μB per cell
# E_form (uncorrected) ... -0.58 eV per atom
data_MgPdSe
_chemical_formula_sum 'Mg4 Pd4 Se4'
_symmetry_space_group_name_H-M 'C 1 m 1'
_symmetry_Int_Tables_number 8
_symmetry_space_group_name_Hall 'C -2y'
_cell_length_a 10.0916
_cell_length_b 4.1432
_cell_length_c 5.5876
_cell_angle_alpha 90.00
_cell_angle_beta 103.94
_cell_angle_gamma 90.00
loop_
_atom_site_label
_atom_site_fract_x
_atom_site_fract_y
_atom_site_fract_z
Mg1 0.0000 0.0000 0.0000
Mg2 0.1182 0.5000 0.5086
Pd1 0.3579 0.0000 0.1490
Pd2 0.4203 0.5000 0.4782
Se1 0.1857 0.5000 0.0374
Se2 0.3360 0.0000 0.6613

***

# PBE RbNdHgO3, optimized geometry
# Magnetic moment ... 0.00 μB per cell
# E_form (uncorrected) ... -1.70 eV per atom
data_RbNdHgO3
_chemical_formula_sum 'Rb2 Nd2 Hg2 O6'
_symmetry_space_group_name_H-M 'P 1 21/m 1'
_symmetry_Int_Tables_number 11
_symmetry_space_group_name_Hall '-P 2yb'
_cell_length_a 7.9396
_cell_length_b 3.6656
_cell_length_c 9.4352
_cell_angle_alpha 90.00
_cell_angle_beta 95.95
_cell_angle_gamma 90.00
loop_
_atom_site_label
_atom_site_fract_x
_atom_site_fract_y
_atom_site_fract_z
Rb1 0.1532 0.2500 0.2150
Nd1 0.3706 0.7500 0.8702
Hg1 0.1562 0.2500 0.5874
O1 0.1679 0.7500 0.4546
O2 0.1836 0.2500 0.8301
O3 0.4260 0.7500 0.1066

***

# PBE TmMgCu, optimized geometry
# Raw total energy ... -3.593 eV per atom
# Magnetic moment ... 0.00 μB per cell
data_TmMgCu
_chemical_formula_sum 'Tm4 Mg4 Cu4'
_symmetry_space_group_name_H-M 'C 1 2/m 1'
_symmetry_Int_Tables_number 12
_symmetry_space_group_name_Hall '-C 2y'
_cell_length_a 10.2699
_cell_length_b 3.8315
_cell_length_c 7.6539
_cell_angle_alpha 90.00
_cell_angle_beta 122.34
_cell_angle_gamma 90.00
loop_
_atom_site_label
_atom_site_fract_x
_atom_site_fract_y
_atom_site_fract_z
Tm1 0.0775 0.0000 0.3438
Mg1 0.1735 0.5000 0.0720
Cu1 0.1356 0.5000 0.6640

***

# PBE Sm8GeRh3Br4, optimized geometry
# Magnetic moment ... 0.00 μB per cell
# E_form (uncorrected) ... -1.04 eV per atom
data_Sm8GeRh3Br4
_chemical_formula_sum 'Sm24 Ge3 Rh9 Br12'
_symmetry_space_group_name_H-M 'R -3 m'
_symmetry_Int_Tables_number 166
_symmetry_space_group_name_Hall '-R 3 2"'
_cell_length_a 8.3075
_cell_length_b 8.3075
_cell_length_c 22.8217
_cell_angle_alpha 90.00
_cell_angle_beta 90.00
_cell_angle_gamma 120.00
loop_
_atom_site_label
_atom_site_fract_x
_atom_site_fract_y
_atom_site_fract_z
Sm1 0.0000 0.0000 0.2332
Sm2 0.0127 0.5064 0.7677
Ge1 0.0000 0.0000 0.5000
Rh1 0.0000 0.5000 0.5000
Br1 0.0000 0.0000 0.0000
Br2 0.0000 0.5000 0.0000